(one)
P3Ir: relaxed, PBE.

The structure in CIF format:
```
data_P3Ir
_chemical_formula_sum 'P3 Ir1'
_cell_length_a 4.105
_cell_length_b 3.804
_cell_length_c 4.252
_cell_angle_alpha 90.00
_cell_angle_beta 109.19
_cell_angle_gamma 90.00
_symmetry_space_group_name_H-M 'P 1 2 1'
_symmetry_Int_Tables_number 3
_symmetry_space_group_name_Hall 'P 2y'
loop_
_atom_site_label
_atom_site_fract_x
_atom_site_fract_y
_atom_site_fract_z
P1 0.000 0.000 0.000
P2 0.255 0.675 0.688
Ir1 0.500 0.152 0.500
```


(two)
P3Ir: relaxed, PBE.

The structure in CIF format:
```
data_P3Ir
_chemical_formula_sum 'P12 Ir4'
_cell_length_a 5.663
_cell_length_b 10.266
_cell_length_c 5.663
_cell_angle_alpha 90.00
_cell_angle_beta 90.00
_cell_angle_gamma 90.00
_symmetry_space_group_name_H-M 'P n m a'
_symmetry_Int_Tables_number 62
_symmetry_space_group_name_Hall '-P 2ac 2n'
loop_
_atom_site_label
_atom_site_fract_x
_atom_site_fract_y
_atom_site_fract_z
P1 0.003 0.250 0.124
P2 0.244 0.641 0.124
Ir1 0.109 0.750 0.481
```


Which one sits at the top of the stability order? (two) does.


(one)
P3Ir: relaxed, PBE.

The structure in CIF format:
```
data_P3Ir
_chemical_formula_sum 'P3 Ir1'
_cell_length_a 3.325
_cell_length_b 3.789
_cell_length_c 5.913
_cell_angle_alpha 78.63
_cell_angle_beta 88.87
_cell_angle_gamma 65.87
_symmetry_space_group_name_H-M 'P 1'
_symmetry_Int_Tables_number 1
_symmetry_space_group_name_Hall 'P 1'
loop_
_atom_site_label
_atom_site_fract_x
_atom_site_fract_y
_atom_site_fract_z
P1 0.000 0.000 0.000
P2 0.136 0.782 0.674
P3 0.524 0.034 0.430
Ir1 0.690 0.584 0.183
```


(two)
P3Ir: relaxed, PBE.

The structure in CIF format:
```
data_P3Ir
_chemical_formula_sum 'P6 Ir2'
_cell_length_a 7.013
_cell_length_b 3.298
_cell_length_c 6.600
_cell_angle_alpha 90.00
_cell_angle_beta 107.23
_cell_angle_gamma 90.00
_symmetry_space_group_name_H-M 'C 1 m 1'
_symmetry_Int_Tables_number 8
_symmetry_space_group_name_Hall 'C -2y'
loop_
_atom_site_label
_atom_site_fract_x
_atom_site_fract_y
_atom_site_fract_z
P1 0.000 0.000 0.000
P2 0.037 0.500 0.511
P3 0.140 0.000 0.349
Ir1 0.157 0.500 0.873
```


Which one sits at the top of the stability order? (one) does.


(one)
P3Ir: relaxed, PBE.

The structure in CIF format:
```
data_P3Ir
_chemical_formula_sum 'P6 Ir2'
_cell_length_a 4.473
_cell_length_b 7.713
_cell_length_c 3.789
_cell_angle_alpha 90.00
_cell_angle_beta 90.00
_cell_angle_gamma 90.00
_symmetry_space_group_name_H-M 'C m m m'
_symmetry_Int_Tables_number 65
_symmetry_space_group_name_Hall '-C 2 2'
loop_
_atom_site_label
_atom_site_fract_x
_atom_site_fract_y
_atom_site_fract_z
P1 0.000 0.000 0.000
P2 0.000 0.302 0.500
Ir1 0.000 0.500 0.000
```


(two)
P3Ir: relaxed, PBE.

The structure in CIF format:
```
data_P3Ir
_chemical_formula_sum 'P6 Ir2'
_cell_length_a 5.778
_cell_length_b 3.344
_cell_length_c 6.318
_cell_angle_alpha 90.00
_cell_angle_beta 108.00
_cell_angle_gamma 90.00
_symmetry_space_group_name_H-M 'C 1 2/m 1'
_symmetry_Int_Tables_number 12
_symmetry_space_group_name_Hall '-C 2y'
loop_
_atom_site_label
_atom_site_fract_x
_atom_site_fract_y
_atom_site_fract_z
P1 0.000 0.000 0.000
P2 0.248 0.500 0.245
Ir1 0.000 0.500 0.500
```


Which one sits at the top of the stability order? (one) does.


(one)
P3Ir: relaxed, PBE.

The structure in CIF format:
```
data_P3Ir
_chemical_formula_sum 'P24 Ir8'
_cell_length_a 8.081
_cell_length_b 8.081
_cell_length_c 8.081
_cell_angle_alpha 90.00
_cell_angle_beta 90.00
_cell_angle_gamma 90.00
_symmetry_space_group_name_H-M 'I m -3'
_symmetry_Int_Tables_number 204
_symmetry_space_group_name_Hall '-I 2 2 3'
loop_
_atom_site_label
_atom_site_fract_x
_atom_site_fract_y
_atom_site_fract_z
P1 0.000 0.139 0.355
Ir1 0.250 0.250 0.250
```


(two)
P3Ir: relaxed, PBE.

The structure in CIF format:
```
data_P3Ir
_chemical_formula_sum 'P3 Ir1'
_cell_length_a 3.509
_cell_length_b 3.509
_cell_length_c 5.823
_cell_angle_alpha 90.00
_cell_angle_beta 90.00
_cell_angle_gamma 90.00
_symmetry_space_group_name_H-M 'P -4 m 2'
_symmetry_Int_Tables_number 115
_symmetry_space_group_name_Hall 'P -4 -2'
loop_
_atom_site_label
_atom_site_fract_x
_atom_site_fract_y
_atom_site_fract_z
P1 0.000 0.000 0.000
P2 0.000 0.500 0.256
Ir1 0.500 0.500 0.500
```


(three)
P3Ir: relaxed, PBE.

The structure in CIF format:
```
data_P3Ir
_chemical_formula_sum 'P3 Ir1'
_cell_length_a 2.8594
_cell_length_b 2.8594
_cell_length_c 8.5860
_cell_angle_alpha 90.00
_cell_angle_beta 90.00
_cell_angle_gamma 120.00
_symmetry_space_group_name_H-M 'P -6 m 2'
_symmetry_Int_Tables_number 187
_symmetry_space_group_name_Hall 'P -6 2'
loop_
_atom_site_label
_atom_site_fract_x
_atom_site_fract_y
_atom_site_fract_z
P1 0.0000 0.0000 0.0000
P2 0.6667 0.3333 0.2809
Ir1 0.0000 0.0000 0.5000
```


Which one sits at the top of the stability order? (one) does.


(one)
P5Ir4: relaxed, PBE.

The structure in CIF format:
```
data_P5Ir4
_chemical_formula_sum 'P10 Ir8'
_cell_length_a 6.7435
_cell_length_b 6.7435
_cell_length_c 6.9672
_cell_angle_alpha 90.00
_cell_angle_beta 90.00
_cell_angle_gamma 120.00
_symmetry_space_group_name_H-M 'P 63/m c m'
_symmetry_Int_Tables_number 193
_symmetry_space_group_name_Hall '-P 6c 2'
loop_
_atom_site_label
_atom_site_fract_x
_atom_site_fract_y
_atom_site_fract_z
P1 0.0000 0.2524 0.2500
P2 0.3333 0.6667 0.0000
Ir1 0.0000 0.0000 0.0000
Ir2 0.0000 0.4079 0.7500
```


(two)
P5Ir4: relaxed, PBE.

The structure in CIF format:
```
data_P5Ir4
_chemical_formula_sum 'P10 Ir8'
_cell_length_a 7.513
_cell_length_b 7.513
_cell_length_c 4.778
_cell_angle_alpha 90.00
_cell_angle_beta 90.00
_cell_angle_gamma 90.00
_symmetry_space_group_name_H-M 'I 4/m m m'
_symmetry_Int_Tables_number 139
_symmetry_space_group_name_Hall '-I 4 2'
loop_
_atom_site_label
_atom_site_fract_x
_atom_site_fract_y
_atom_site_fract_z
P1 0.000 0.000 0.000
P2 0.176 0.176 0.500
Ir1 0.000 0.301 0.000
```


Which one sits at the top of the stability order? (one) does.


(one)
Pa2PIr: relaxed, PBE.

The structure in CIF format:
```
data_Pa2PIr
_chemical_formula_sum 'Pa6 P3 Ir3'
_cell_length_a 4.4251
_cell_length_b 4.4251
_cell_length_c 15.2400
_cell_angle_alpha 90.00
_cell_angle_beta 90.00
_cell_angle_gamma 120.00
_symmetry_space_group_name_H-M 'R -3 m'
_symmetry_Int_Tables_number 166
_symmetry_space_group_name_Hall '-R 3 2"'
loop_
_atom_site_label
_atom_site_fract_x
_atom_site_fract_y
_atom_site_fract_z
Pa1 0.0000 0.0000 0.2482
P1 0.0000 0.0000 0.5000
Ir1 0.0000 0.0000 0.0000
```


(two)
Pa2PIr: relaxed, PBE.

The structure in CIF format:
```
data_Pa2PIr
_chemical_formula_sum 'Pa4 P2 Ir2'
_cell_length_a 5.772
_cell_length_b 3.932
_cell_length_c 7.921
_cell_angle_alpha 90.00
_cell_angle_beta 110.06
_cell_angle_gamma 90.00
_symmetry_space_group_name_H-M 'P 1 21/m 1'
_symmetry_Int_Tables_number 11
_symmetry_space_group_name_Hall '-P 2yb'
loop_
_atom_site_label
_atom_site_fract_x
_atom_site_fract_y
_atom_site_fract_z
Pa1 0.205 0.250 0.418
Pa2 0.288 0.750 0.069
P1 0.376 0.750 0.701
Ir1 0.123 0.250 0.794
```


Which one sits at the top of the stability order? (two) does.